Computed, not measured: a geometry-optimized Pm2Si3Pt6 structure at the GGA-PBE level of DFT.

abc: 4.2619 7.3869 7.3869
angles: 120.00 90.00 90.00
Closest atoms and distances in Å follow each position.
Atoms (fractional coordinates):
Pm  0.0000  0.6667  0.3333  9 Pt 3.00-3.30, 6 Si 3.18
Pm  0.0000  0.3333  0.6667  9 Pt 3.00-3.30, 6 Si 3.18
Si  0.5000  0.3624  0.3624  5 Pt 2.35-2.53
Si  0.5000  0.6376  0.0000  5 Pt 2.35-2.53
Si  0.5000  0.0000  0.6376  5 Pt 2.35-2.53
Pt  0.5000  0.6811  0.6811  3 Si 2.35-2.53
Pt  0.5000  0.0000  0.3189  3 Si 2.35-2.53
Pt  0.0000  0.2140  0.2140  2 Si 2.40
Pt  0.0000  0.7860  0.0000  2 Si 2.40
Pt  0.5000  0.3189  0.0000  3 Si 2.35-2.53
Pt  0.0000  0.0000  0.7860  2 Si 2.40

Values from the calculation:
VASP energy: -73.280 eV per cell